1.
First-principles (PBE) data for ZrFeMo after structural relaxation, as listed in the Alexandria database.

a b c (Å): 3.0193 3.0193 6.4128
angles (deg): 90.00 90.00 120.00
Space group P3m1 (No. 156)
One atom of each set of equivalent atoms:
Zr  0.0000  0.0000  0.0000 (multiplicity 1)
Fe  0.6667  0.3333  0.3423 (multiplicity 1)
Mo  0.3333  0.6667  0.6252 (multiplicity 1)

Properties
**E_tot**: -8.924 eV per atom
**Size of the total moment**: 0.43 μB per atom
**Excess energy over the best structure of this formula in the dataset**: 497 meV/atom
**Energy of formation from the pure elements**: 0.36 eV per atom
**Mass density**: 8.0 g/cm3

2.
First-principles (PBE) data for K2CuPb2 after structural relaxation, as listed in the Alexandria database.

a b c (Å): 7.371 7.371 6.085
angles (deg): 90.00 90.00 90.00
Space group P4/mbm (No. 127)
One atom of each set of equivalent atoms:
K  0.173  0.327  0.000 (multiplicity 4)
Cu  0.000  0.000  0.500 (multiplicity 2)
Pb  0.151  0.651  0.500 (multiplicity 4)

Properties
**E_tot**: -2.673 eV per atom
**Size of the total moment**: 0.00 μB per atom
**Energy of formation from the pure elements**: 0.07 eV per atom
**Mass density**: 5.6 g/cm3

3.
First-principles (PBE) data for Tb7Dy2Th2 after structural relaxation, as listed in the Alexandria database.

a b c (Å): 11.131 11.453 6.108
angles (deg): 90.00 113.11 90.00
Space group C2/m (No. 12)
One atom of each set of equivalent atoms:
Tb  0.000  0.000  0.000 (multiplicity 2)
Tb  0.174  0.238  0.171 (multiplicity 8)
Tb  0.237  0.000  0.583 (multiplicity 4)
Dy  0.000  0.218  0.500 (multiplicity 4)
Th  0.082  0.500  0.806 (multiplicity 4)

Properties
**E_tot**: -4.954 eV per atom
**Size of the total moment**: 0.00 μB per atom
**Excess energy over the best structure of this formula in the dataset**: 35 meV/atom
**Energy of formation from the pure elements**: 0.18 eV per atom
**Mass density**: 8.8 g/cm3

4.
First-principles (PBE) data for SmBe2SnPd5 after structural relaxation, as listed in the Alexandria database.

a b c (Å): 4.410 4.410 7.564
angles (deg): 90.00 90.00 90.00
Space group P4/mmm (No. 123)
One atom of each set of equivalent atoms:
Sm  0.000  0.000  0.000 (multiplicity 1)
Be  0.500  0.500  0.328 (multiplicity 2)
Sn  0.000  0.000  0.500 (multiplicity 1)
Pd  0.000  0.500  0.275 (multiplicity 4)
Pd  0.500  0.500  0.000 (multiplicity 1)

Properties
**E_tot**: -5.203 eV per atom
**Size of the total moment**: 0.00 μB per atom
**Energy of formation from the pure elements**: -0.52 eV per atom
**Mass density**: 9.2 g/cm3

5.
First-principles (PBE) data for Tb2Er12Tm5 after structural relaxation, as listed in the Alexandria database.

a b c (Å): 6.160 8.686 11.934
angles (deg): 68.83 80.60 79.50
Space group P-1 (No. 2)
One atom of each set of equivalent atoms:
Tb  0.238  0.492  0.069 (multiplicity 2)
Er  0.045  0.076  0.324 (multiplicity 2)
Er  0.192  0.260  0.665 (multiplicity 2)
Er  0.225  0.401  0.361 (multiplicity 2)
Er  0.271  0.537  0.786 (multiplicity 2)
Er  0.333  0.794  0.175 (multiplicity 2)
Er  0.407  0.874  0.843 (multiplicity 2)
Tm  0.135  0.162  0.989 (multiplicity 2)
Tm  0.288  0.674  0.488 (multiplicity 2)
Tm  0.500  0.000  0.500 (multiplicity 1)

Properties
**E_tot**: -4.481 eV per atom
**Size of the total moment**: 0.00 μB per atom
**Excess energy over the best structure of this formula in the dataset**: 0 meV/atom
**Energy of formation from the pure elements**: 0.06 eV per atom
**Mass density**: 9.0 g/cm3

6.
First-principles (PBE) data for Ca3UN4 after structural relaxation, as listed in the Alexandria database.

a b c (Å): 7.7076 7.7076 6.6446
angles (deg): 90.00 90.00 120.00
Space group R3m (No. 160, hexagonal axes)
One atom of each set of equivalent atoms:
Ca  0.0512  0.5256  0.0000 (multiplicity 9)
U  0.0000  0.0000  0.9043 (multiplicity 3)
N  0.0000  0.0000  0.5709 (multiplicity 3)
N  0.2023  0.4046  0.7492 (multiplicity 9)

Properties
**E_tot**: -7.270 eV per atom
**Size of the total moment**: 0.00 μB per atom
**Excess energy over the best structure of this formula in the dataset**: 341 meV/atom
**Mass density**: 6.0 g/cm3
**E_form (uncorrected)**: -0.95 eV per atom

7.
First-principles (PBE) data for CePrCuIr after structural relaxation, as listed in the Alexandria database.

a b c (Å): 7.101 7.101 7.101
angles (deg): 90.00 90.00 90.00
Space group F-43m (No. 216)
One atom of each set of equivalent atoms:
Ce  0.000  0.000  0.000 (multiplicity 4)
Pr  0.000  0.000  0.500 (multiplicity 4)
Cu  0.250  0.250  0.750 (multiplicity 4)
Ir  0.250  0.250  0.250 (multiplicity 4)

Properties
**E_tot**: -6.286 eV per atom
**Size of the total moment**: 0.14 μB per atom
**Energy of formation from the pure elements**: -0.37 eV per atom
**Mass density**: 10.0 g/cm3

8.
First-principles (PBE) data for Tl5Hg2As4 after structural relaxation, as listed in the Alexandria database.

a b c (Å): 25.682 3.581 7.075
angles (deg): 90.00 96.24 90.00
Space group C2/m (No. 12)
One atom of each set of equivalent atoms:
Tl  0.000  0.000  0.000 (multiplicity 2)
Tl  0.103  0.500  0.201 (multiplicity 4)
Tl  0.182  0.500  0.845 (multiplicity 4)
Hg  0.225  0.500  0.326 (multiplicity 4)
As  0.036  0.500  0.644 (multiplicity 4)
As  0.099  0.000  0.569 (multiplicity 4)

Properties
**E_tot**: -2.782 eV per atom
**Size of the total moment**: 0.00 μB per atom
**Energy of formation from the pure elements**: 0.04 eV per atom
**Mass density**: 8.8 g/cm3

9.
First-principles (PBE) data for Er6Ni2S after structural relaxation, as listed in the Alexandria database.

a b c (Å): 6.336 6.977 11.500
angles (deg): 90.00 121.05 90.00
Space group P2_1/c (No. 14)
One atom of each set of equivalent atoms:
Er  0.087  0.186  0.427 (multiplicity 4)
Er  0.245  0.667  0.426 (multiplicity 4)
Er  0.400  0.045  0.246 (multiplicity 4)
Ni  0.182  0.112  0.738 (multiplicity 4)
S  0.500  0.000  0.500 (multiplicity 2)

Properties
**E_tot**: -5.408 eV per atom
**Size of the total moment**: 0.00 μB per atom
**Mass density**: 8.8 g/cm3
**E_form (uncorrected)**: -0.62 eV per atom

10.
First-principles (PBE) data for Tm4S3N2 after structural relaxation, as listed in the Alexandria database.

a b c (Å): 12.728 3.765 9.720
angles (deg): 90.00 127.98 90.00
Space group C2/m (No. 12)
One atom of each set of equivalent atoms:
Tm  0.063  0.000  0.354 (multiplicity 4)
Tm  0.238  0.500  0.851 (multiplicity 4)
S  0.000  0.500  0.500 (multiplicity 2)
S  0.175  0.500  0.284 (multiplicity 4)
N  0.143  0.000  0.862 (multiplicity 4)

Properties
**E_tot**: -7.190 eV per atom
**Size of the total moment**: 0.00 μB per atom
**Mass density**: 7.2 g/cm3
**E_form (uncorrected)**: -1.98 eV per atom

11.
First-principles (PBE) data for CsPr2Mo2N6 after structural relaxation, as listed in the Alexandria database.

a b c (Å): 11.939 6.915 7.230
angles (deg): 90.00 122.35 90.00
Space group C2/m (No. 12)
One atom of each set of equivalent atoms:
Cs  0.000  0.000  0.000 (multiplicity 2)
Pr  0.177  0.500  0.291 (multiplicity 4)
Mo  0.121  0.500  0.691 (multiplicity 4)
N  0.076  0.500  0.899 (multiplicity 4)
N  0.193  0.288  0.642 (multiplicity 8)

Properties
**E_tot**: -7.932 eV per atom
**Size of the total moment**: 0.09 μB per atom
**Mass density**: 4.5 g/cm3
**E_form (uncorrected)**: -0.48 eV per atom

12.
First-principles (PBE) data for AcNd2PtO5 after structural relaxation, as listed in the Alexandria database.

a b c (Å): 6.715 6.715 6.108
angles (deg): 90.00 90.00 90.00
Space group P4/mbm (No. 127)
One atom of each set of equivalent atoms:
Ac  0.000  0.000  0.000 (multiplicity 2)
Nd  0.166  0.334  0.500 (multiplicity 4)
Pt  0.000  0.500  0.000 (multiplicity 2)
O  0.000  0.000  0.500 (multiplicity 2)
O  0.158  0.658  0.250 (multiplicity 8)

Properties
**E_tot**: -7.464 eV per atom
**Size of the total moment**: 0.11 μB per atom
**Mass density**: 9.5 g/cm3
**E_form (uncorrected)**: -2.52 eV per atom

13.
First-principles (PBE) data for TbTiSn after structural relaxation, as listed in the Alexandria database.

a b c (Å): 6.079 9.052 10.504
angles (deg): 90.00 90.00 90.00
Space group Fmmm (No. 69)
One atom of each set of equivalent atoms:
Tb  0.000  0.185  0.000 (multiplicity 8)
Ti  0.250  0.250  0.250 (multiplicity 8)
Sn  0.000  0.000  0.343 (multiplicity 8)

Properties
**E_tot**: -5.582 eV per atom
**Size of the total moment**: 0.00 μB per atom
**Excess energy over the best structure of this formula in the dataset**: 437 meV/atom
**Energy of formation from the pure elements**: -0.07 eV per atom
**Mass density**: 7.5 g/cm3

14.
First-principles (PBE) data for Nd3Er2N4 after structural relaxation, as listed in the Alexandria database.

a b c (Å): 6.135 3.542 14.916
angles (deg): 90.00 90.06 90.00
Space group C2/m (No. 12)
One atom of each set of equivalent atoms:
Nd  0.000  0.000  0.000 (multiplicity 2)
Nd  0.166  0.500  0.621 (multiplicity 4)
Er  0.167  0.500  0.190 (multiplicity 4)
N  0.001  0.000  0.291 (multiplicity 4)
N  0.166  0.500  0.894 (multiplicity 4)

Properties
**E_tot**: -7.648 eV per atom
**Size of the total moment**: 0.00 μB per atom
**Mass density**: 8.4 g/cm3
**E_form (uncorrected)**: -1.34 eV per atom

15.
First-principles (PBE) data for Sc3Ti after structural relaxation, as listed in the Alexandria database.

a b c (Å): 4.474 4.474 8.942
angles (deg): 90.00 90.00 90.00
Space group I4/mmm (No. 139)
One atom of each set of equivalent atoms:
Sc  0.000  0.000  0.000 (multiplicity 2)
Sc  0.000  0.500  0.250 (multiplicity 4)
Ti  0.000  0.000  0.500 (multiplicity 2)

Properties
**E_tot**: -6.608 eV per atom
**Size of the total moment**: 0.20 μB per atom
**Excess energy over the best structure of this formula in the dataset**: 46 meV/atom
**Energy of formation from the pure elements**: 0.11 eV per atom
**Mass density**: 3.4 g/cm3

16.
First-principles (PBE) data for Ti2BiSb after structural relaxation, as listed in the Alexandria database.

a b c (Å): 8.281 7.172 6.235
angles (deg): 90.00 90.00 90.00
Space group P2_1/c (No. 14)
One atom of each set of equivalent atoms:
Ti  0.112  0.249  0.000 (multiplicity 4)
Ti  0.359  0.749  0.500 (multiplicity 4)
Bi  0.377  0.090  0.251 (multiplicity 4)
Sb  0.125  0.577  0.249 (multiplicity 4)

Properties
**E_tot**: -6.244 eV per atom
**Size of the total moment**: 0.00 μB per atom
**Excess energy over the best structure of this formula in the dataset**: 0 meV/atom
**Mass density**: 7.6 g/cm3
**E_form (uncorrected)**: -0.30 eV per atom

17.
First-principles (PBE) data for BaSc2Zn after structural relaxation, as listed in the Alexandria database.

a b c (Å): 3.4143 3.4143 33.1158
angles (deg): 90.00 90.00 120.00
Space group R-3m (No. 166, hexagonal axes)
One atom of each set of equivalent atoms:
Ba  0.0000  0.0000  0.0000 (multiplicity 3)
Sc  0.0000  0.0000  0.1047 (multiplicity 6)
Zn  0.0000  0.0000  0.5000 (multiplicity 3)

Properties
**E_tot**: -3.730 eV per atom
**Size of the total moment**: 0.00 μB per atom
**Energy of formation from the pure elements**: 0.24 eV per atom
**Mass density**: 4.4 g/cm3

18.
First-principles (PBE) data for Nd8CoS3I4 after structural relaxation, as listed in the Alexandria database.

a b c (Å): 8.3454 8.3454 23.2334
angles (deg): 90.00 90.00 120.00
Space group R-3m (No. 166, hexagonal axes)
One atom of each set of equivalent atoms:
Nd  0.0000  0.0000  0.2295 (multiplicity 6)
Nd  0.0162  0.5081  0.2290 (multiplicity 18)
Co  0.0000  0.0000  0.5000 (multiplicity 3)
S  0.0000  0.5000  0.5000 (multiplicity 9)
I  0.0000  0.0000  0.0000 (multiplicity 3)
I  0.0000  0.5000  0.0000 (multiplicity 9)

Properties
**E_tot**: -5.238 eV per atom
**Size of the total moment**: 0.00 μB per atom
**Mass density**: 6.5 g/cm3
**E_form (uncorrected)**: -1.25 eV per atom

19.
First-principles (PBE) data for Mg2TlTc2 after structural relaxation, as listed in the Alexandria database.

a b c (Å): 6.887 6.887 4.142
angles (deg): 90.00 90.00 90.00
Space group P4/mbm (No. 127)
One atom of each set of equivalent atoms:
Mg  0.167  0.333  0.000 (multiplicity 4)
Tl  0.000  0.000  0.500 (multiplicity 2)
Tc  0.116  0.616  0.500 (multiplicity 4)

Properties
**E_tot**: -4.956 eV per atom
**Size of the total moment**: 0.00 μB per atom
**Excess energy over the best structure of this formula in the dataset**: 0 meV/atom
**Energy of formation from the pure elements**: 0.30 eV per atom
**Mass density**: 7.6 g/cm3

20.
First-principles (PBE) data for Ho3GaPb2 after structural relaxation, as listed in the Alexandria database.

a b c (Å): 12.460 4.428 11.925
angles (deg): 90.00 90.00 90.00
Space group Pnma (No. 62)
One atom of each set of equivalent atoms:
Ho  0.057  0.250  0.120 (multiplicity 4)
Ho  0.122  0.750  0.550 (multiplicity 4)
Ho  0.239  0.250  0.785 (multiplicity 4)
Ga  0.122  0.250  0.369 (multiplicity 4)
Pb  0.008  0.250  0.702 (multiplicity 4)
Pb  0.185  0.750  0.997 (multiplicity 4)

Properties
**E_tot**: -4.479 eV per atom
**Size of the total moment**: 0.00 μB per atom
**Excess energy over the best structure of this formula in the dataset**: 0 meV/atom
**Energy of formation from the pure elements**: -0.45 eV per atom
**Mass density**: 9.9 g/cm3